[1]
Dy2BH | PBE-GGA | optimized geometry

abc: 3.8068 3.8068 16.7733
angles: 90.00 90.00 120.00
Space group R-3m (No. 166, hexagonal axes)
Unique sites:
1 Dy 0.0000 0.0000 0.2473 [6 per cell]
2 B 0.0000 0.0000 0.5000 [3 per cell]
3 H 0.0000 0.0000 0.0000 [3 per cell]

Values from the calculation:
Raw total energy = -19.98 eV per formula unit
M_tot = 0.0 μB per formula unit

[2]
K2Be2S | PBE-GGA | optimized geometry

abc: 9.494 9.494 2.858
angles: 90.00 90.00 90.00
Space group P4/mbm (No. 127)
Unique sites:
1 K 0.211 0.289 0.000 [4 per cell]
2 Be 0.076 0.576 0.500 [4 per cell]
3 S 0.000 0.000 0.000 [2 per cell]

Values from the calculation:
Raw total energy = -9.82 eV per formula unit
M_tot = 0.0 μB per formula unit
Energy relative to the lowest polymorph listed for this composition = 609 meV per atom
E_form (uncorrected) = 3.952 eV per formula unit

[3]
CsLi2HgSb | PBE-GGA | optimized geometry

abc: 5.363 5.363 6.142
angles: 90.00 90.00 90.00
Space group P4/mmm (No. 123)
Unique sites:
1 Cs 0.000 0.000 0.000 [1 per cell]
2 Li 0.000 0.500 0.500 [2 per cell]
3 Hg 0.500 0.500 0.000 [1 per cell]
4 Sb 0.500 0.500 0.500 [1 per cell]

Values from the calculation:
Raw total energy = -10.50 eV per formula unit
M_tot = 0.0 μB per formula unit
E_form (uncorrected) = -1.393 eV per formula unit